Record 1
An optimized crystal structure of Pr2YErTm5. Source: Alexandria, functional PBE-GGA.

Output
Energy of formation from the pure elements, meV/atom: 272
Raw total energy, eV for the cell shown: -162.0

Structure (CIF):
```
data_Pr2YErTm5
_space_group_name_H-M_alt 'I 4/m c m'
_space_group_IT_number 140
_space_group_name_Hall '-I 4 2c'
_cell_length_a 8.5806
_cell_length_b 8.5806
_cell_length_c 15.6110
_cell_angle_alpha 90.00
_cell_angle_beta 90.00
_cell_angle_gamma 90.00
loop_
_atom_site_label
_atom_site_type_symbol
_atom_site_fract_x
_atom_site_fract_y
_atom_site_fract_z
_atom_site_occupancy
Pr1 Pr 0.1183 0.3817 0.0000 1
Y1 Y 0.0000 0.0000 0.2500 1
Er1 Er 0.0000 0.5000 0.2500 1
Tm1 Tm 0.0000 0.0000 0.0000 1
Tm2 Tm 0.2136 0.2864 0.3588 1
```

=====

Record 2
An optimized crystal structure of PrY6Er2Tm3. Source: Alexandria, functional PBE-GGA.

Output
Energy of formation from the pure elements, meV/atom: 26
Raw total energy, eV for the cell shown: -131.6

Structure (CIF):
```
data_PrY6Er2Tm3
_space_group_name_H-M_alt 'C 1 2/m 1'
_space_group_IT_number 12
_space_group_name_Hall '-C 2y'
_cell_length_a 6.1539
_cell_length_b 10.6469
_cell_length_c 11.7779
_cell_angle_alpha 90.00
_cell_angle_beta 99.99
_cell_angle_gamma 90.00
loop_
_atom_site_label
_atom_site_type_symbol
_atom_site_fract_x
_atom_site_fract_y
_atom_site_fract_z
_atom_site_occupancy
Pr1 Pr 0.0000 0.0000 0.0000 1
Y1 Y 0.2482 0.3329 0.7474 1
Y2 Y 0.2496 0.0000 0.7475 1
Er1 Er 0.0000 0.3334 0.0000 1
Tm1 Tm 0.0000 0.1671 0.5000 1
Tm2 Tm 0.0000 0.5000 0.5000 1
```

=====

Record 3
An optimized crystal structure of PrY2Er6Tm3. Source: Alexandria, functional PBE-GGA.

Output
Energy of formation from the pure elements, meV/atom: 26
Raw total energy, eV for the cell shown: -116.4

Structure (CIF):
```
data_PrY2Er6Tm3
_space_group_name_H-M_alt 'C 1 2/m 1'
_space_group_IT_number 12
_space_group_name_Hall '-C 2y'
_cell_length_a 6.1159
_cell_length_b 10.5799
_cell_length_c 11.7041
_cell_angle_alpha 90.00
_cell_angle_beta 100.00
_cell_angle_gamma 90.00
loop_
_atom_site_label
_atom_site_type_symbol
_atom_site_fract_x
_atom_site_fract_y
_atom_site_fract_z
_atom_site_occupancy
Pr1 Pr 0.0000 0.0000 0.0000 1
Y1 Y 0.0000 0.3334 0.0000 1
Er1 Er 0.2483 0.0000 0.7462 1
Er2 Er 0.2480 0.3333 0.7461 1
Tm1 Tm 0.0000 0.1670 0.5000 1
Tm2 Tm 0.0000 0.5000 0.5000 1
```

=====

Record 4
An optimized crystal structure of PrY2Er3Tm6. Source: Alexandria, functional PBE-GGA.

Output
Energy of formation from the pure elements, meV/atom: 27
Raw total energy, eV for the cell shown: -115.8

Structure (CIF):
```
data_PrY2Er3Tm6
_space_group_name_H-M_alt 'C 1 2/m 1'
_space_group_IT_number 12
_space_group_name_Hall '-C 2y'
_cell_length_a 6.1079
_cell_length_b 10.5664
_cell_length_c 11.6819
_cell_angle_alpha 90.00
_cell_angle_beta 100.01
_cell_angle_gamma 90.00
loop_
_atom_site_label
_atom_site_type_symbol
_atom_site_fract_x
_atom_site_fract_y
_atom_site_fract_z
_atom_site_occupancy
Pr1 Pr 0.0000 0.0000 0.0000 1
Y1 Y 0.0000 0.3333 0.0000 1
Er1 Er 0.0000 0.1670 0.5000 1
Er2 Er 0.0000 0.5000 0.5000 1
Tm1 Tm 0.2483 0.0000 0.7468 1
Tm2 Tm 0.2480 0.3333 0.7466 1
```

=====

Record 5
An optimized crystal structure of Pr2YEr2Tm. Source: Alexandria, functional PBE-GGA.

Output
Energy of formation from the pure elements, meV/atom: 68
Raw total energy, eV for the cell shown: -58.4

Structure (CIF):
```
data_Pr2YEr2Tm
_space_group_name_H-M_alt 'P m c 21'
_space_group_IT_number 26
_space_group_name_Hall 'P 2c -2'
_cell_length_a 5.6479
_cell_length_b 9.8196
_cell_length_c 7.0384
_cell_angle_alpha 90.00
_cell_angle_beta 90.00
_cell_angle_gamma 90.00
loop_
_atom_site_label
_atom_site_type_symbol
_atom_site_fract_x
_atom_site_fract_y
_atom_site_fract_z
_atom_site_occupancy
Pr1 Pr 0.0000 0.0004 0.0000 1
Pr2 Pr 0.5000 0.1753 0.2503 1
Y1 Y 0.5000 0.5002 0.4995 1
Er1 Er 0.0000 0.3339 0.2495 1
Er2 Er 0.5000 0.1649 0.7501 1
Tm1 Tm 0.0000 0.3397 0.7493 1
```

=====

Record 6
An optimized crystal structure of Pr2YEr5Tm. Source: Alexandria, functional PBE-GGA.

Output
Energy of formation from the pure elements, meV/atom: 273
Raw total energy, eV for the cell shown: -163.4

Structure (CIF):
```
data_Pr2YEr5Tm
_space_group_name_H-M_alt 'I 4/m c m'
_space_group_IT_number 140
_space_group_name_Hall '-I 4 2c'
_cell_length_a 8.5866
_cell_length_b 8.5866
_cell_length_c 15.7126
_cell_angle_alpha 90.00
_cell_angle_beta 90.00
_cell_angle_gamma 90.00
loop_
_atom_site_label
_atom_site_type_symbol
_atom_site_fract_x
_atom_site_fract_y
_atom_site_fract_z
_atom_site_occupancy
Pr1 Pr 0.1185 0.3815 0.0000 1
Y1 Y 0.0000 0.0000 0.2500 1
Er1 Er 0.0000 0.0000 0.0000 1
Er2 Er 0.2141 0.2859 0.3584 1
Tm1 Tm 0.0000 0.5000 0.2500 1
```

=====

Q: energy of formation from the pure elements of number 1 (Pr2YErTm5)?
A: 272 meV/atom

=====

Q: Which formula does entry 2 have?
A: PrY6Er2Tm3

=====

Q: Which of these has the highest raw total energy?
A: Pr2YEr2Tm